Model 1:
Material: PuScInOs
Method: DFT, PBE
State: optimized geometry

a = 4.9131 Å, b = 4.9131 Å, c = 4.9131 Å
α = 60.00°, β = 60.00°, γ = 60.00°
Last column: nearest neighbours and their distance in Å.
Sites, in units of the cell vectors:
Pu: 0.0000 0.0000 0.0000  4 Os 3.01, 4 In 3.01
Sc: 0.5000 0.5000 0.5000  4 Os 3.01, 4 In 3.01
In: 0.2500 0.2500 0.2500  4 Sc 3.01, 4 Pu 3.01
Os: 0.7500 0.7500 0.7500  4 Sc 3.01, 4 Pu 3.01

Results
- total magnetic moment (μB/atom) = 1.254

Model 2:
Material: PuScInOs
Method: DFT, PBE
State: optimized geometry

a = 3.2243 Å, b = 3.2243 Å, c = 8.1504 Å
α = 90.00°, β = 90.00°, γ = 90.00°
Last column: nearest neighbours and their distance in Å.
Sites, in units of the cell vectors:
Pu: 0.0000 0.0000 0.0000  4 Os 2.92, 4 Pu 3.22
Sc: 0.0000 0.0000 0.4151  4 Os 2.76
In: 0.5000 0.5000 0.6913  4 Sc 3.20, 4 In 3.22, 4 Pu 3.40
Os: 0.5000 0.5000 0.2240  4 Sc 2.76, 4 Pu 2.92

Results
- total magnetic moment (μB/atom) = 1.158

From most stable to least stable, the computed energies give model 2, model 1.

Model 1:
Material: Al2ZnBr
Method: DFT, PBE
State: optimized geometry

a = 5.8956 Å, b = 5.8956 Å, c = 5.8956 Å
α = 138.95°, β = 138.95°, γ = 59.45°
Last column: nearest neighbours and their distance in Å.
Sites, in units of the cell vectors:
Al: 0.0000 0.0000 0.0000  4 Zn 2.92
Al: 0.7500 0.2500 0.5000  4 Br 2.92
Zn: 0.5000 0.5000 0.0000  4 Al 2.92
Br: 0.2500 0.7500 0.5000  4 Al 2.92

Results
- total magnetic moment (μB/atom) = 0.000

Model 2:
Material: Al2ZnBr
Method: DFT, PBE
State: optimized geometry

a = 3.3024 Å, b = 3.3024 Å, c = 7.5119 Å
α = 90.00°, β = 90.00°, γ = 90.00°
Last column: nearest neighbours and their distance in Å.
Sites, in units of the cell vectors:
Al: 0.0000 0.0000 0.0000  4 Zn 2.75, 4 Al 2.86
Al: 0.5000 0.5000 0.2209  4 Al 2.86, 4 Br 2.99, 1 Zn 3.11
Zn: 0.5000 0.5000 0.8071  4 Al 2.75
Br: 0.0000 0.0000 0.4698  4 Al 2.99, 4 Br 3.30

Results
- total magnetic moment (μB/atom) = 0.000

From most stable to least stable, the computed energies give model 2, model 1.